{
  "formula": "NpTlCu2Br8",
  "functional": "PBE",
  "state": "optimized geometry",
  "magnetic_moment_mub_per_fu": 1.837,
  "volume_a3_per_atom": 37.588,
  "mass_density_g_cm3": 4.4,
  "raw_formation_energy_mev_per_atom": -703.8,
  "lattice": [[-1.322, 7.386, 1.329], [-5.838, -4.827, -0.830], [0.051, -1.579, 8.829]],
  "species": ["Br", "Br", "Br", "Cu", "Br", "Br", "Np", "Br", "Br", "Tl", "Br", "Cu"],
  "fractional_positions": [[0.165, 0.835, 0.815], [0.835, 0.669, 0.185], [0.835, 0.165, 0.185], [0.667, 0.333, 0.312], [0.667, 0.333, 0.566], [0.331, 0.165, 0.185], [0.000, 0.000, 0.000], [0.333, 0.667, 0.434], [0.669, 0.835, 0.815], [0.000, 0.000, 0.500], [0.165, 0.331, 0.815], [0.333, 0.667, 0.688]]
}



{
  "formula": "NpTlCuBr6",
  "functional": "PBE",
  "state": "optimized geometry",
  "magnetic_moment_mub_per_fu": 2.969,
  "volume_a3_per_atom": 35.772,
  "mass_density_g_cm3": 5.1,
  "raw_formation_energy_mev_per_atom": -920.1,
  "lattice": [[7.043, 0.000, 0.000], [-3.521, 6.099, 0.000], [0.000, 0.000, 14.991]],
  "species": ["Br", "Br", "Br", "Br", "Br", "Np", "Cu", "Br", "Br", "Np", "Tl", "Tl", "Br", "Br", "Br", "Br", "Cu", "Br"],
  "fractional_positions": [[0.011, 0.642, 0.356], [0.369, 0.358, 0.856], [0.011, 0.369, 0.144], [0.631, 0.642, 0.144], [0.642, 0.011, 0.856], [0.333, 0.667, 0.750], [0.333, 0.667, 0.250], [0.642, 0.631, 0.644], [0.358, 0.989, 0.144], [0.667, 0.333, 0.250], [0.000, 0.000, 0.000], [0.000, 0.000, 0.500], [0.989, 0.358, 0.644], [0.358, 0.369, 0.356], [0.989, 0.631, 0.856], [0.369, 0.011, 0.644], [0.667, 0.333, 0.750], [0.631, 0.989, 0.356]]
}



{
  "formula": "NpTl2CuBr6",
  "functional": "PBE",
  "state": "optimized geometry",
  "magnetic_moment_mub_per_fu": 4.000,
  "volume_a3_per_atom": 36.036,
  "mass_density_g_cm3": 5.5,
  "raw_formation_energy_mev_per_atom": -870.0,
  "lattice": [[6.737, 0.000, 0.061], [0.000, 7.552, 0.000], [-2.677, -3.776, 7.058]],
  "species": ["Br", "Tl", "Np", "Cu", "Br", "Br", "Tl", "Br", "Br", "Br"],
  "fractional_positions": [[0.219, 0.692, 0.855], [0.186, 0.244, 0.488], [0.000, 0.500, 0.000], [0.500, 0.000, 0.000], [0.781, 0.308, 0.145], [0.291, 0.692, 0.384], [0.814, 0.756, 0.512], [0.781, 0.838, 0.145], [0.709, 0.308, 0.616], [0.219, 0.162, 0.855]]
}



{
  "formula": "CuBrO",
  "functional": "PBE",
  "state": "optimized geometry",
  "magnetic_moment_mub_per_fu": 0.000,
  "volume_a3_per_atom": 19.821,
  "mass_density_g_cm3": 4.5,
  "raw_formation_energy_mev_per_atom": -276.6,
  "lattice": [[3.459, 0.838, 0.341], [2.477, 4.709, 0.758], [2.123, 2.709, 8.850]],
  "species": ["Br", "O", "Br", "Cu", "O", "Cu"],
  "fractional_positions": [[0.653, 0.259, 0.839], [0.097, 0.213, 0.440], [0.347, 0.741, 0.161], [0.361, 0.773, 0.617], [0.903, 0.787, 0.560], [0.639, 0.227, 0.383]]
}



{
  "formula": "Cu3BrO",
  "functional": "PBE",
  "state": "optimized geometry",
  "magnetic_moment_mub_per_fu": 0.000,
  "volume_a3_per_atom": 18.480,
  "mass_density_g_cm3": 5.1,
  "de_polymorph_ev_per_atom": 1.071,
  "raw_formation_energy_mev_per_atom": 1024.0,
  "lattice": [[-2.285, 3.264, 2.136], [-3.049, 0.050, -3.338], [-2.434, -3.127, 2.176]],
  "species": ["O", "Cu", "Br", "Cu", "Cu"],
  "fractional_positions": [[0.500, 0.500, 0.500], [0.000, 0.000, 0.500], [0.000, 0.000, 0.000], [0.500, 0.000, 0.000], [0.000, 0.500, 0.000]]
}



{
  "formula": "Cu2Br2O",
  "functional": "PBE",
  "state": "optimized geometry",
  "magnetic_moment_mub_per_fu": 0.134,
  "volume_a3_per_atom": 20.391,
  "mass_density_g_cm3": 4.9,
  "raw_formation_energy_mev_per_atom": -350.0,
  "lattice": [[5.644, 0.000, -3.058], [-1.657, 5.395, -3.058], [-0.012, -0.016, 6.715]],
  "species": ["Br", "Cu", "O", "Br", "Cu", "Cu", "O", "Cu", "Br", "Br"],
  "fractional_positions": [[0.551, 0.051, 0.101], [0.125, 0.875, 0.750], [0.250, 0.750, 0.500], [0.301, 0.301, 0.601], [0.625, 0.875, 0.750], [0.125, 0.875, 0.250], [0.000, 0.000, 0.000], [0.125, 0.375, 0.250], [0.949, 0.449, 0.899], [0.699, 0.699, 0.399]]
}



{
  "formula": "CuBr3O",
  "functional": "PBE",
  "state": "optimized geometry",
  "magnetic_moment_mub_per_fu": 0.000,
  "volume_a3_per_atom": 21.203,
  "mass_density_g_cm3": 5.0,
  "de_polymorph_ev_per_atom": 0.000,
  "raw_formation_energy_mev_per_atom": 674.8,
  "lattice": [[-3.590, 2.948, -0.905], [-0.884, -2.314, -4.033], [-2.954, -2.890, 2.306]],
  "species": ["Cu", "Br", "Br", "O", "Br"],
  "fractional_positions": [[0.500, 0.500, 0.500], [0.000, 0.000, 0.500], [0.000, 0.500, 0.000], [0.000, 0.000, 0.000], [0.500, 0.000, 0.000]]
}



{
  "formula": "CuBr2O5",
  "functional": "PBE",
  "state": "optimized geometry",
  "magnetic_moment_mub_per_fu": 0.000,
  "volume_a3_per_atom": 15.656,
  "mass_density_g_cm3": 4.0,
  "raw_formation_energy_mev_per_atom": 190.6,
  "lattice": [[6.027, 0.000, 0.000], [0.000, 8.346, 0.000], [0.000, 0.000, 9.960]],
  "species": ["O", "Br", "Br", "Br", "O", "Br", "O", "O", "Cu", "O", "O", "Br", "O", "O", "Br", "O", "O", "O", "Cu", "O", "O", "Cu", "Br", "O", "Cu", "O", "Br", "O", "O", "O", "O", "O"],
  "fractional_positions": [[0.968, 0.621, 0.570], [0.950, 0.824, 0.629], [0.050, 0.324, 0.871], [0.550, 0.324, 0.129], [0.136, 0.309, 0.708], [0.450, 0.824, 0.371], [0.636, 0.309, 0.292], [0.468, 0.879, 0.930], [0.250, 0.500, 0.575], [0.250, 0.500, 0.932], [0.750, 0.000, 0.568], [0.950, 0.676, 0.129], [0.532, 0.379, 0.570], [0.136, 0.191, 0.208], [0.450, 0.676, 0.871], [0.968, 0.879, 0.070], [0.532, 0.121, 0.070], [0.750, 0.500, 0.068], [0.750, 0.000, 0.925], [0.864, 0.809, 0.792], [0.364, 0.691, 0.708], [0.750, 0.500, 0.425], [0.550, 0.176, 0.629], [0.032, 0.121, 0.930], [0.250, 0.000, 0.075], [0.364, 0.809, 0.208], [0.050, 0.176, 0.371], [0.636, 0.191, 0.792], [0.468, 0.621, 0.430], [0.032, 0.379, 0.430], [0.250, 0.000, 0.432], [0.864, 0.691, 0.292]]
}



{
  "formula": "Cu3BrO",
  "functional": "PBE",
  "state": "optimized geometry",
  "magnetic_moment_mub_per_fu": 0.000,
  "volume_a3_per_atom": 14.103,
  "mass_density_g_cm3": 6.7,
  "de_polymorph_ev_per_atom": 0.000,
  "raw_formation_energy_mev_per_atom": -46.6,
  "lattice": [[-3.203, 0.523, -2.557], [-1.020, -3.976, 0.465], [-2.402, 0.992, 3.212]],
  "species": ["O", "Cu", "Cu", "Br", "Cu"],
  "fractional_positions": [[0.000, 0.000, 0.000], [0.500, 0.000, 0.000], [0.000, 0.500, 0.000], [0.500, 0.500, 0.500], [0.000, 0.000, 0.500]]
}



{
  "formula": "CuBr3O",
  "functional": "PBE",
  "state": "optimized geometry",
  "magnetic_moment_mub_per_fu": 0.024,
  "volume_a3_per_atom": 23.751,
  "mass_density_g_cm3": 4.5,
  "de_polymorph_ev_per_atom": 0.130,
  "raw_formation_energy_mev_per_atom": 805.1,
  "lattice": [[4.915, 0.000, 0.000], [0.000, 4.915, 0.000], [0.000, 0.000, 4.915]],
  "species": ["Br", "Cu", "O", "Br", "Br"],
  "fractional_positions": [[0.500, 0.000, 0.000], [0.000, 0.000, 0.000], [0.500, 0.500, 0.500], [0.000, 0.000, 0.500], [0.000, 0.500, 0.000]]
}



{
  "formula": "Cu4BrO5",
  "functional": "PBE",
  "state": "optimized geometry",
  "magnetic_moment_mub_per_fu": 0.000,
  "volume_a3_per_atom": 14.992,
  "mass_density_g_cm3": 4.6,
  "raw_formation_energy_mev_per_atom": -392.1,
  "lattice": [[-2.253, -3.728, 2.135], [-1.721, -1.908, -5.148], [8.956, -5.880, -0.815]],
  "species": ["Cu", "O", "O", "Cu", "Cu", "Cu", "O", "O", "O", "O", "Br", "Cu", "O", "Cu", "O", "O", "Cu", "O", "Br", "Cu"],
  "fractional_positions": [[0.490, 0.500, 0.753], [0.430, 0.500, 0.000], [0.319, 0.248, 0.327], [0.510, 0.000, 0.747], [0.319, 0.761, 0.500], [0.319, 0.239, 0.500], [0.681, 0.748, 0.827], [0.319, 0.248, 0.673], [0.681, 0.252, 0.173], [0.319, 0.752, 0.327], [0.064, 0.000, 0.000], [0.681, 0.261, 0.000], [0.681, 0.252, 0.827], [0.490, 0.500, 0.247], [0.570, 0.000, 0.500], [0.681, 0.748, 0.173], [0.510, 0.000, 0.253], [0.319, 0.752, 0.673], [0.936, 0.500, 0.500], [0.681, 0.739, 0.000]]
}



{
  "formula": "Cu2BrO3",
  "functional": "PBE",
  "state": "optimized geometry",
  "magnetic_moment_mub_per_fu": 0.011,
  "volume_a3_per_atom": 16.261,
  "mass_density_g_cm3": 4.3,
  "raw_formation_energy_mev_per_atom": -311.8,
  "lattice": [[-1.511, -0.537, -5.492], [1.843, -5.553, 0.036], [-5.920, 0.076, 1.621]],
  "species": ["Cu", "O", "O", "Br", "Br", "Cu", "O", "O", "O", "O", "Cu", "Cu"],
  "fractional_positions": [[0.500, 0.000, 0.000], [0.003, 0.335, 0.082], [0.250, 0.994, 0.783], [0.750, 0.255, 0.499], [0.250, 0.745, 0.501], [0.000, 0.000, 0.000], [0.997, 0.665, 0.918], [0.750, 0.006, 0.217], [0.497, 0.335, 0.082], [0.503, 0.665, 0.918], [0.750, 0.501, 0.005], [0.250, 0.499, 0.995]]
}



{
  "formula": "Cu5Br12O3",
  "functional": "PBE",
  "state": "optimized geometry",
  "magnetic_moment_mub_per_fu": 8.401,
  "volume_a3_per_atom": 26.433,
  "mass_density_g_cm3": 4.2,
  "raw_formation_energy_mev_per_atom": 240.0,
  "lattice": [[14.005, 0.000, 0.000], [-4.668, 13.204, 0.000], [-4.668, -6.602, 11.435]],
  "species": ["Cu", "Cu", "Br", "Cu", "Br", "Br", "Cu", "Br", "Br", "O", "Br", "O", "Cu", "Br", "Br", "Cu", "Br", "Br", "Br", "Br", "Br", "Br", "Br", "O", "Br", "Br", "O", "Br", "Br", "O", "O", "Cu", "Cu", "O", "Br", "O", "Br", "O", "Br", "Cu", "Br", "Br", "Br", "O", "Cu", "Br", "Br", "Cu", "Br", "O", "Br", "Br", "Br", "Br", "Br", "Br", "Cu", "Cu", "Cu", "Cu", "Br", "O", "Br", "Cu", "Cu", "Br", "Br", "Br", "Br", "Cu", "Br", "Cu", "Br", "Br", "Br", "Br", "Cu", "Br", "Br", "Br"],
  "fractional_positions": [[0.625, 0.875, 0.250], [0.250, 0.375, 0.625], [0.839, 0.338, 0.987], [0.375, 0.250, 0.125], [0.839, 0.501, 0.352], [0.662, 0.161, 0.513], [0.500, 0.000, 0.000], [0.499, 0.338, 0.851], [0.351, 0.352, 0.513], [0.875, 0.125, 0.250], [0.649, 0.001, 0.662], [0.875, 0.750, 0.125], [0.375, 0.125, 0.750], [0.339, 0.852, 0.001], [0.838, 0.851, 0.999], [0.750, 0.625, 0.375], [0.148, 0.487, 0.149], [0.352, 0.001, 0.839], [0.001, 0.352, 0.339], [0.487, 0.148, 0.649], [0.513, 0.661, 0.662], [0.662, 0.501, 0.649], [0.013, 0.162, 0.161], [0.250, 0.125, 0.375], [0.852, 0.339, 0.501], [0.339, 0.487, 0.838], [0.625, 0.375, 0.750], [0.013, 0.851, 0.352], [0.162, 0.149, 0.001], [0.375, 0.625, 0.250], [0.125, 0.250, 0.875], [0.500, 0.000, 0.500], [0.750, 0.125, 0.875], [0.750, 0.875, 0.625], [0.852, 0.513, 0.851], [0.625, 0.250, 0.375], [0.851, 0.013, 0.852], [0.375, 0.750, 0.625], [0.352, 0.351, 0.013], [0.000, 0.500, 0.500], [0.501, 0.662, 0.149], [0.499, 0.161, 0.148], [0.649, 0.648, 0.487], [0.125, 0.875, 0.750], [0.000, 0.000, 0.000], [0.648, 0.649, 0.987], [0.161, 0.662, 0.013], [0.625, 0.750, 0.875], [0.338, 0.499, 0.351], [0.250, 0.625, 0.875], [0.338, 0.839, 0.487], [0.501, 0.839, 0.852], [0.487, 0.339, 0.338], [0.513, 0.852, 0.351], [0.838, 0.987, 0.339], [0.987, 0.838, 0.839], [0.000, 0.500, 0.000], [0.250, 0.875, 0.125], [0.875, 0.625, 0.750], [0.500, 0.500, 0.000], [0.661, 0.513, 0.162], [0.750, 0.375, 0.125], [0.987, 0.149, 0.648], [0.125, 0.375, 0.250], [0.000, 0.000, 0.500], [0.148, 0.661, 0.499], [0.149, 0.162, 0.501], [0.001, 0.649, 0.162], [0.161, 0.499, 0.648], [0.125, 0.750, 0.375], [0.648, 0.999, 0.161], [0.875, 0.250, 0.625], [0.851, 0.838, 0.499], [0.149, 0.987, 0.148], [0.999, 0.351, 0.838], [0.351, 0.999, 0.338], [0.500, 0.500, 0.500], [0.661, 0.148, 0.999], [0.999, 0.648, 0.661], [0.162, 0.013, 0.661]]
}



{
  "formula": "CuP2BrO",
  "functional": "PBE",
  "state": "optimized geometry",
  "magnetic_moment_mub_per_fu": 0.000,
  "volume_a3_per_atom": 16.372,
  "mass_density_g_cm3": 4.5,
  "de_polymorph_ev_per_atom": 0.000,
  "raw_formation_energy_mev_per_atom": 650.8,
  "lattice": [[4.701, 0.000, 0.000], [0.000, 4.701, 0.000], [0.000, 0.000, 3.704]],
  "species": ["Br", "P", "Cu", "P", "O"],
  "fractional_positions": [[0.500, 0.500, 0.500], [0.500, 0.000, 0.000], [0.000, 0.000, 0.000], [0.000, 0.500, 0.000], [0.000, 0.000, 0.500]]
}



{
  "formula": "CuP2BrO",
  "functional": "PBE",
  "state": "optimized geometry",
  "magnetic_moment_mub_per_fu": 0.000,
  "volume_a3_per_atom": 17.951,
  "mass_density_g_cm3": 4.1,
  "de_polymorph_ev_per_atom": 0.663,
  "raw_formation_energy_mev_per_atom": 1313.9,
  "lattice": [[-3.308, 0.120, 3.735], [3.684, -0.726, 3.287], [0.449, 3.565, 0.284]],
  "species": ["Br", "P", "P", "Cu", "O"],
  "fractional_positions": [[0.000, 0.000, 0.000], [0.500, 0.000, 0.000], [0.000, 0.500, 0.000], [0.500, 0.500, 0.500], [0.000, 0.000, 0.500]]
}



{
  "formula": "PaCuBrO4",
  "functional": "PBE",
  "state": "optimized geometry",
  "magnetic_moment_mub_per_fu": 0.000,
  "volume_a3_per_atom": 15.371,
  "mass_density_g_cm3": 6.8,
  "raw_formation_energy_mev_per_atom": -1700.0,
  "lattice": [[-5.616, -0.459, 3.088], [-3.776, -5.053, -1.224], [2.925, -2.870, 4.305]],
  "species": ["O", "Pa", "Br", "O", "Pa", "Cu", "O", "O", "Cu", "Br", "O", "O", "O", "O"],
  "fractional_positions": [[0.124, 0.534, 0.146], [0.274, 0.274, 0.863], [0.939, 0.939, 0.817], [0.450, 0.450, 0.691], [0.726, 0.726, 0.137], [0.616, 0.616, 0.613], [0.876, 0.466, 0.854], [0.466, 0.876, 0.854], [0.384, 0.384, 0.387], [0.061, 0.061, 0.183], [0.534, 0.124, 0.146], [0.234, 0.234, 0.508], [0.766, 0.766, 0.492], [0.550, 0.550, 0.309]]
}



{
  "formula": "CuPbBrO2",
  "functional": "PBE",
  "state": "optimized geometry",
  "magnetic_moment_mub_per_fu": 0.000,
  "volume_a3_per_atom": 17.108,
  "mass_density_g_cm3": 7.4,
  "raw_formation_energy_mev_per_atom": 397.0,
  "lattice": [[-1.578, 2.658, 3.077], [-4.182, -0.820, -1.436], [-0.288, -3.365, 2.759]],
  "species": ["Br", "O", "Cu", "O", "Pb"],
  "fractional_positions": [[0.000, 0.000, 0.000], [0.000, 0.000, 0.500], [0.000, 0.500, 0.000], [0.500, 0.000, 0.000], [0.500, 0.500, 0.500]]
}



{
  "formula": "PuCuBrO4",
  "functional": "PBE",
  "state": "optimized geometry",
  "magnetic_moment_mub_per_fu": 1.799,
  "volume_a3_per_atom": 17.340,
  "mass_density_g_cm3": 6.2,
  "raw_formation_energy_mev_per_atom": -1467.8,
  "lattice": [[-3.144, -2.953, 4.956], [-5.479, -3.255, -1.596], [1.974, -6.189, -0.419]],
  "species": ["O", "O", "O", "Cu", "O", "O", "O", "Pu", "Br", "Br", "Cu", "O", "Pu", "O"],
  "fractional_positions": [[0.406, 0.406, 0.911], [0.594, 0.594, 0.089], [0.338, 0.338, 0.535], [0.755, 0.755, 0.171], [0.662, 0.662, 0.465], [0.629, 0.098, 0.229], [0.902, 0.371, 0.771], [0.369, 0.369, 0.231], [0.121, 0.121, 0.202], [0.879, 0.879, 0.798], [0.245, 0.245, 0.829], [0.098, 0.629, 0.229], [0.631, 0.631, 0.769], [0.371, 0.902, 0.771]]
}



{
  "formula": "Rb2CuBrO",
  "functional": "PBE",
  "state": "optimized geometry",
  "magnetic_moment_mub_per_fu": 0.000,
  "volume_a3_per_atom": 26.634,
  "mass_density_g_cm3": 4.1,
  "raw_formation_energy_mev_per_atom": -1160.0,
  "lattice": [[6.002, 0.000, 0.000], [0.000, 6.002, 0.000], [0.000, 0.000, 3.697]],
  "species": ["Br", "O", "Cu", "Rb", "Rb"],
  "fractional_positions": [[0.500, 0.500, 0.500], [0.000, 0.000, 0.000], [0.000, 0.000, 0.500], [0.000, 0.500, 0.000], [0.500, 0.000, 0.000]]
}